Entry 1:
! Hf2ZnN, optimized geometry, DFT PBE-GGA; values from VASP
&SYSTEM
  ibrav = 0, nat = 24, ntyp = 3
/
ATOMIC_SPECIES
Zn 65.41 Zn.upf
Hf 178.49 Hf.upf
N 14.01 N.upf
CELL_PARAMETERS angstrom
-2.7518 -4.0377 2.7030
2.2236 -2.3156 4.5690
-6.0936 11.6820 5.4660
ATOMIC_POSITIONS crystal
Zn 0.9268 0.0732 0.2500
Hf 0.8039 0.9703 0.9114
N 0.1681 0.6659 0.0000
Hf 0.1374 0.3036 0.9114
Hf 0.6366 0.4700 0.4100
Hf 0.6964 0.8626 0.5886
Hf 0.0297 0.1961 0.5886
N 0.5000 0.0000 0.0000
N 0.6659 0.1681 0.5000
Hf 0.1961 0.0297 0.0886
Zn 0.7609 0.5813 0.7499
Zn 0.5813 0.7609 0.2499
N 0.3341 0.8319 0.5000
N 0.8319 0.3341 0.0000
Hf 0.8626 0.6964 0.0886
Hf 0.3036 0.1374 0.4114
Zn 0.0732 0.9268 0.7500
Hf 0.9703 0.8039 0.4114
Zn 0.4187 0.2391 0.7501
Zn 0.2391 0.4187 0.2501
N 0.0000 0.5000 0.5000
Hf 0.5300 0.3634 0.0900
Hf 0.4700 0.6366 0.9100
Hf 0.3634 0.5300 0.5900
! Magnetization = 0.00 μB/f.u.
! Space group = C2/c, No. 15
! VASP energy = -8.347 eV/atom
! V = 375.3 Å³ per cell


Entry 2:
! Hf2ZnN, optimized geometry, DFT PBE-GGA; values from VASP
&SYSTEM
  ibrav = 0, nat = 8, ntyp = 3
/
ATOMIC_SPECIES
Zn 65.41 Zn.upf
N 14.01 N.upf
Hf 178.49 Hf.upf
CELL_PARAMETERS angstrom
-1.1781 1.0477 -2.8150
-1.5974 -2.2417 1.6832
-6.9973 9.9715 6.6395
ATOMIC_POSITIONS crystal
Zn 0.3333 0.6667 0.7500
N 0.0000 0.0000 0.5000
Zn 0.6667 0.3333 0.2500
Hf 0.6667 0.3333 0.5890
Hf 0.6667 0.3333 0.9110
N 0.0000 0.0000 0.0000
Hf 0.3333 0.6667 0.0890
Hf 0.3333 0.6667 0.4110
! Magnetization = 0.00 μB/f.u.
! Space group = P6_3/mmc, No. 194
! VASP energy = -8.347 eV/atom
! V = 125.1 Å³ per cell


Entry 3:
! Hf2ZrN4, optimized geometry, DFT PBE-GGA; values from VASP
&SYSTEM
  ibrav = 0, nat = 14, ntyp = 3
/
ATOMIC_SPECIES
Hf 178.49 Hf.upf
N 14.01 N.upf
Zr 91.22 Zr.upf
CELL_PARAMETERS angstrom
1.5546 -5.1805 0.0000
1.5546 5.1805 0.0000
0.0000 0.0000 10.4084
ATOMIC_POSITIONS crystal
Hf 0.1316 0.8684 0.0726
N 0.9711 0.0288 0.7500
N 0.7696 0.2304 0.3794
N 0.2304 0.7696 0.6206
Zr 0.3843 0.6157 0.2500
N 0.2304 0.7696 0.8794
N 0.0288 0.9711 0.2500
N 0.7696 0.2304 0.1206
Hf 0.8684 0.1316 0.9274
Hf 0.1316 0.8684 0.4274
N 0.5000 0.5000 0.5000
Hf 0.8684 0.1316 0.5726
N 0.5000 0.5000 0.0000
Zr 0.6157 0.3843 0.7500
! Magnetization = 0.00 μB/f.u.
! Space group = Cmcm, No. 63
! VASP energy = -10.440 eV/atom
! V = 167.7 Å³ per cell


Entry 4:
! Hf2ZrN, optimized geometry, DFT PBE-GGA; values from VASP
&SYSTEM
  ibrav = 0, nat = 4, ntyp = 3
/
ATOMIC_SPECIES
Hf 178.49 Hf.upf
N 14.01 N.upf
Zr 91.22 Zr.upf
CELL_PARAMETERS angstrom
2.4293 -4.5549 0.0000
2.4293 4.5549 0.0000
0.0000 0.0000 3.2052
ATOMIC_POSITIONS crystal
Hf 0.8392 0.1608 0.5000
N 0.0000 0.0000 0.0000
Zr 0.5000 0.5000 0.0000
Hf 0.1608 0.8392 0.5000
! Magnetization = 0.00 μB/f.u.
! Space group = Cmmm, No. 65
! VASP energy = -10.143 eV/atom
! V = 70.9 Å³ per cell


Entry 5:
! HfZrN2, optimized geometry, DFT PBE-GGA; values from VASP
&SYSTEM
  ibrav = 0, nat = 4, ntyp = 3
/
ATOMIC_SPECIES
N 14.01 N.upf
Hf 178.49 Hf.upf
Zr 91.22 Zr.upf
CELL_PARAMETERS angstrom
1.2301 3.6203 4.1129
3.9653 3.0894 2.5036
1.7879 5.1523 1.3389
ATOMIC_POSITIONS crystal
N 0.2452 0.2452 0.2452
Hf 0.5000 0.5000 0.5000
N 0.7548 0.7548 0.7548
Zr 0.0000 0.0000 0.0000
! Magnetization = 0.01 μB/f.u.
! Space group = R-3m, No. 166
! VASP energy = -10.520 eV/atom
! V = 47.5 Å³ per cell


Entry 6:
! HfZrN2, optimized geometry, DFT PBE-GGA; values from VASP
&SYSTEM
  ibrav = 0, nat = 4, ntyp = 3
/
ATOMIC_SPECIES
N 14.01 N.upf
Hf 178.49 Hf.upf
Zr 91.22 Zr.upf
CELL_PARAMETERS angstrom
3.2249 0.0000 0.0000
0.0000 3.2249 0.0000
0.0000 0.0000 4.5653
ATOMIC_POSITIONS crystal
N 0.0000 0.0000 0.0000
Hf 0.0000 0.0000 0.5000
N 0.5000 0.5000 0.5000
Zr 0.5000 0.5000 0.0000
! Magnetization = 0.00 μB/f.u.
! Space group = P4/mmm, No. 123
! VASP energy = -10.500 eV/atom
! V = 47.5 Å³ per cell


Entry 7:
! HfZr5N5, optimized geometry, DFT PBE-GGA; values from VASP
&SYSTEM
  ibrav = 0, nat = 11, ntyp = 3
/
ATOMIC_SPECIES
N 14.01 N.upf
Zr 91.22 Zr.upf
Hf 178.49 Hf.upf
CELL_PARAMETERS angstrom
-4.9964 -0.9383 -2.4247
-1.4123 -2.4392 -4.8764
0.9409 -4.7553 4.2865
ATOMIC_POSITIONS crystal
N 0.1616 0.1616 0.3258
N 0.8384 0.8384 0.6742
Zr 0.6706 0.6706 0.8389
N 0.1630 0.1630 0.8375
Zr 0.3294 0.3294 0.1611
Zr 0.3249 0.3249 0.6678
Hf 0.0000 0.0000 0.0000
N 0.8370 0.8370 0.1625
Zr 0.0000 0.0000 0.5000
N 0.5000 0.5000 0.0000
Zr 0.6751 0.6751 0.3322
! Magnetization = 0.01 μB/f.u.
! Space group = C2/m, No. 12
! VASP energy = -10.162 eV/atom
! V = 144.9 Å³ per cell


Entry 8:
! NaHf2, optimized geometry, DFT PBE-GGA; values from VASP
&SYSTEM
  ibrav = 0, nat = 6, ntyp = 2
/
ATOMIC_SPECIES
Hf 178.49 Hf.upf
Na 22.99 Na.upf
CELL_PARAMETERS angstrom
0.0000 4.2348 4.2348
4.2348 0.0000 4.2348
4.2348 4.2348 0.0000
ATOMIC_POSITIONS crystal
Hf 0.6250 0.6250 0.6250
Na 0.2500 0.2500 0.2500
Hf 0.6250 0.6250 0.1250
Na 0.0000 0.0000 0.0000
Hf 0.6250 0.1250 0.6250
Hf 0.1250 0.6250 0.6250
! Magnetization = 0.01 μB/f.u.
! Space group = Fd-3m, No. 227
! VASP energy = -6.292 eV/atom
! V = 151.9 Å³ per cell


Entry 9:
! NaHf2, optimized geometry, DFT PBE-GGA; values from VASP
&SYSTEM
  ibrav = 0, nat = 6, ntyp = 2
/
ATOMIC_SPECIES
Na 22.99 Na.upf
Hf 178.49 Hf.upf
CELL_PARAMETERS angstrom
4.5156 2.6071 7.3739
-4.5156 2.6071 7.3739
0.0000 -5.2142 7.3739
ATOMIC_POSITIONS crystal
Na 0.5000 0.5000 0.5000
Hf 0.3750 0.3750 0.3750
Hf 0.3750 0.8750 0.3750
Hf 0.8750 0.3750 0.3750
Na 0.2500 0.2500 0.2500
Hf 0.3750 0.3750 0.8750
! Magnetization = 5.02 μB/f.u.
! Space group = Fd-3m, No. 227
! VASP energy = -3.100 eV/atom
! V = 520.9 Å³ per cell


Entry 10:
! NaHfNb, optimized geometry, DFT PBE-GGA; values from VASP
&SYSTEM
  ibrav = 0, nat = 3, ntyp = 3
/
ATOMIC_SPECIES
Nb 92.91 Nb.upf
Hf 178.49 Hf.upf
Na 22.99 Na.upf
CELL_PARAMETERS angstrom
0.0000 3.3812 3.3812
3.3812 0.0000 3.3812
3.3812 3.3812 0.0000
ATOMIC_POSITIONS crystal
Nb 0.2500 0.2500 0.2500
Hf 0.5000 0.5000 0.5000
Na 0.0000 0.0000 0.0000
! Magnetization = 2.62 μB/f.u.
! Space group = F-43m, No. 216
! VASP energy = -5.523 eV/atom
! V = 77.3 Å³ per cell


Entry 11:
! NaHfScNi, optimized geometry, DFT PBE-GGA; values from VASP
&SYSTEM
  ibrav = 0, nat = 4, ntyp = 4
/
ATOMIC_SPECIES
Ni 58.69 Ni.upf
Sc 44.96 Sc.upf
Hf 178.49 Hf.upf
Na 22.99 Na.upf
CELL_PARAMETERS angstrom
0.0000 3.3284 3.3284
3.3284 0.0000 3.3284
3.3284 3.3284 0.0000
ATOMIC_POSITIONS crystal
Ni 0.2500 0.2500 0.2500
Sc 0.0000 0.0000 0.0000
Hf 0.5000 0.5000 0.5000
Na 0.7500 0.7500 0.7500
! Magnetization = 0.00 μB/f.u.
! Space group = F-43m, No. 216
! VASP energy = -5.492 eV/atom
! V = 73.7 Å³ per cell


Entry 12:
! NaHfNiSe3, optimized geometry, DFT PBE-GGA; values from VASP
&SYSTEM
  ibrav = 0, nat = 12, ntyp = 4
/
ATOMIC_SPECIES
Ni 58.69 Ni.upf
Se 78.96 Se.upf
Hf 178.49 Hf.upf
Na 22.99 Na.upf
CELL_PARAMETERS angstrom
1.8502 -7.0243 0.0000
1.8502 7.0243 0.0000
0.0000 0.0000 9.8919
ATOMIC_POSITIONS crystal
Ni 0.0251 0.9749 0.7500
Se 0.4189 0.5811 0.7500
Se 0.8685 0.1315 0.4379
Se 0.1315 0.8685 0.5621
Se 0.8685 0.1315 0.0621
Ni 0.9749 0.0251 0.2500
Hf 0.5000 0.5000 0.5000
Se 0.5811 0.4189 0.2500
Na 0.7443 0.2558 0.7500
Se 0.1315 0.8685 0.9379
Na 0.2558 0.7443 0.2500
Hf 0.5000 0.5000 0.0000
! Magnetization = 0.40 μB/f.u.
! Space group = Cmcm, No. 63
! VASP energy = -5.571 eV/atom
! V = 257.1 Å³ per cell